Arrangement 1

The following is a PBE-GGA calculation of an optimized crystal structure of Tc2OsAu, from Alexandria via LeMat-Bulk.

For the density of states at the Fermi level, the calculation gives 5.74 states/eV per cell.

The structure belongs to space group P4/mmm (No. 123); the cell edges are 2.752, 2.752 and 8.070 Å and the angles 90.00°, 90.00° and 90.00°. The inequivalent atoms are Tc at (0.000, 0.000, 0.233), Os at (0.500, 0.500, 0.000) and Au at (0.500, 0.500, 0.500).

***

Arrangement 2

The following is a PBE-GGA calculation of an optimized crystal structure of Tc2OsAu, from Alexandria via LeMat-Bulk.

For the density of states at the Fermi level, the calculation gives 14.40 states/eV per cell.

The structure belongs to space group R3m (No. 160, hexagonal axes); the cell edges are 2.7678, 2.7678 and 27.7783 Å and the angles 90.00°, 90.00° and 120.00°. The inequivalent atoms are Tc at (0.0000, 0.0000, 0.0000), Tc at (0.0000, 0.0000, 0.2555), Os at (0.0000, 0.0000, 0.7442) and Au at (0.0000, 0.0000, 0.5005).

***

It comes down to arrangement 1, which is 14 meV/atom more stable than the next structure.

***

Arrangement 1

The following is a PBE-GGA calculation of an optimized crystal structure of Tc2OsAu, from Alexandria via LeMat-Bulk.

For the density of states at the Fermi level, the calculation gives 10.30 states/eV per cell.

The structure belongs to space group I4/mmm (No. 139); the cell edges are 3.878, 3.878 and 8.026 Å and the angles 90.00°, 90.00° and 90.00°. The inequivalent atoms are Tc at (0.000, 0.500, 0.250), Os at (0.000, 0.000, 0.000) and Au at (0.000, 0.000, 0.500).

***

Arrangement 2

The following is a PBE-GGA calculation of an optimized crystal structure of Tc2OsAu, from Alexandria via LeMat-Bulk.

For the density of states at the Fermi level, the calculation gives 8.57 states/eV per cell.

The structure belongs to space group Cmm2 (No. 35); the cell edges are 2.844, 4.601 and 9.571 Å and the angles 90.00°, 90.00° and 90.00°. The inequivalent atoms are Tc at (0.000, 0.000, 0.000), Tc at (0.000, 0.500, 0.232), Os at (0.000, 0.500, 0.766) and Au at (0.000, 0.000, 0.497).

***

Arrangement 3

The following is a PBE-GGA calculation of an optimized crystal structure of Tc2OsAu, from Alexandria via LeMat-Bulk.

For the density of states at the Fermi level, the calculation gives 25.87 states/eV per cell.

The structure belongs to space group Fm-3m (No. 225); the cell edges are 6.285, 6.285 and 6.285 Å and the angles 90.00°, 90.00° and 90.00°. The inequivalent atoms are Tc at (0.250, 0.250, 0.250), Os at (0.000, 0.000, 0.000) and Au at (0.000, 0.000, 0.500).

***

Arrangement 4

The following is a PBE-GGA calculation of an optimized crystal structure of Tc2OsAu, from Alexandria via LeMat-Bulk.

For the density of states at the Fermi level, the calculation gives 5.84 states/eV per cell.

The structure belongs to space group Cm (No. 8); the cell edges are 9.261, 2.782 and 4.822 Å and the angles 90.00°, 100.30° and 90.00°. The inequivalent atoms are Tc at (0.000, 0.000, 0.000), Tc at (0.243, 0.500, 0.234), Os at (0.481, 0.000, 0.452) and Au at (0.241, 0.000, 0.731).

***

It comes down to arrangement 4, which is 84 meV/atom more stable than the next structure.

***

Arrangement 1

The following is a PBE-GGA calculation of an optimized crystal structure of Tc2OsAu, from Alexandria via LeMat-Bulk.

For the density of states at the Fermi level, the calculation gives 14.17 states/eV per cell.

The structure belongs to space group R-3m (No. 166, hexagonal axes); the cell edges are 2.7847, 2.7847 and 27.4405 Å and the angles 90.00°, 90.00° and 120.00°. The inequivalent atoms are Tc at (0.0000, 0.0000, 0.2445), Os at (0.0000, 0.0000, 0.5000) and Au at (0.0000, 0.0000, 0.0000).

***

Arrangement 2

The following is a PBE-GGA calculation of an optimized crystal structure of Tc2OsAu, from Alexandria via LeMat-Bulk.

For the density of states at the Fermi level, the calculation gives 6.70 states/eV per cell.

The structure belongs to space group Cmmm (No. 65); the cell edges are 2.849, 4.585 and 9.587 Å and the angles 90.00°, 90.00° and 90.00°. The inequivalent atoms are Tc at (0.000, 0.000, 0.234), Os at (0.000, 0.500, 0.000) and Au at (0.000, 0.500, 0.500).

***

Arrangement 3

The following is a PBE-GGA calculation of an optimized crystal structure of Tc2OsAu, from Alexandria via LeMat-Bulk.

For the density of states at the Fermi level, the calculation gives 4.05 states/eV per cell.

The structure belongs to space group P2/m (No. 10); the cell edges are 4.777, 2.794 and 4.811 Å and the angles 90.00°, 109.51° and 90.00°. The inequivalent atoms are Tc at (0.000, 0.000, 0.000), Tc at (0.500, 0.500, 0.000), Os at (0.000, 0.500, 0.500) and Au at (0.500, 0.000, 0.500).

***

Arrangement 4

The following is a PBE-GGA calculation of an optimized crystal structure of Tc2OsAu, from Alexandria via LeMat-Bulk.

For the density of states at the Fermi level, the calculation gives 9.02 states/eV per cell.

The structure belongs to space group I-4m2 (No. 119); the cell edges are 3.918, 3.918 and 7.875 Å and the angles 90.00°, 90.00° and 90.00°. The inequivalent atoms are Tc at (0.000, 0.000, 0.000), Tc at (0.000, 0.500, 0.250), Os at (0.000, 0.000, 0.500) and Au at (0.000, 0.500, 0.750).

***

It comes down to arrangement 1, which is 141 meV/atom more stable than the next structure.

***

Arrangement 1

The following is a PBE-GGA calculation of an optimized crystal structure of Tc2OsAu, from Alexandria via LeMat-Bulk.

For the density of states at the Fermi level, the calculation gives 20.57 states/eV per cell.

The structure belongs to space group F-43m (No. 216); the cell edges are 6.281, 6.281 and 6.281 Å and the angles 90.00°, 90.00° and 90.00°. The inequivalent atoms are Tc at (0.000, 0.000, 0.000), Tc at (0.250, 0.250, 0.250), Os at (0.000, 0.000, 0.500) and Au at (0.250, 0.250, 0.750).

***

Arrangement 2

The following is a PBE-GGA calculation of an optimized crystal structure of Tc2OsAu, from Alexandria via LeMat-Bulk.

For the density of states at the Fermi level, the calculation gives 4.24 states/eV per cell.

The structure belongs to space group P4mm (No. 99); the cell edges are 2.765, 2.765 and 8.040 Å and the angles 90.00°, 90.00° and 90.00°. The inequivalent atoms are Tc at (0.000, 0.000, 0.000), Tc at (0.500, 0.500, 0.247), Os at (0.500, 0.500, 0.782) and Au at (0.000, 0.000, 0.510).

***

It comes down to arrangement 2, which is 375 meV/atom more stable than the next structure.

***

Arrangement 1

The following is a PBE-GGA calculation of an optimized crystal structure of Tc2OsAu, from Alexandria via LeMat-Bulk.

For the density of states at the Fermi level, the calculation gives 3.86 states/eV per cell.

The structure belongs to space group Pm (No. 6); the cell edges are 2.774, 3.945 and 5.617 Å and the angles 90.00°, 90.02° and 90.00°. The inequivalent atoms are Tc at (0.000, 0.000, 0.000), Tc at (0.497, 0.500, 0.230), Os at (0.500, 0.500, 0.786) and Au at (0.999, 0.000, 0.503).

***

Arrangement 2

The following is a PBE-GGA calculation of an optimized crystal structure of Tc2OsAu, from Alexandria via LeMat-Bulk.

For the density of states at the Fermi level, the calculation gives 5.04 states/eV per cell.

The structure belongs to space group P4/mmm (No. 123); the cell edges are 4.699, 4.699 and 2.808 Å and the angles 90.00°, 90.00° and 90.00°. The inequivalent atoms are Tc at (0.000, 0.500, 0.000), Os at (0.000, 0.000, 0.500) and Au at (0.500, 0.500, 0.500).

***

It comes down to arrangement 1, which is 308 meV/atom more stable than the next structure.

***

Arrangement 1

The following is a PBE-GGA calculation of an optimized crystal structure of Th7Os2Au2, from Alexandria via LeMat-Bulk.

For the density of states at the Fermi level, the calculation gives 25.59 states/eV per cell.

The structure belongs to space group Cmmm (No. 65); the cell edges are 8.346, 10.942 and 6.991 Å and the angles 90.00°, 90.00° and 90.00°. The inequivalent atoms are Th at (0.000, 0.000, 0.000), Th at (0.000, 0.500, 0.266), Th at (0.250, 0.250, 0.265), Os at (0.000, 0.285, 0.000) and Au at (0.168, 0.000, 0.500).

***

Arrangement 2

The following is a PBE-GGA calculation of an optimized crystal structure of Th7Os2Au2, from Alexandria via LeMat-Bulk.

For the density of states at the Fermi level, the calculation gives 26.53 states/eV per cell.

The structure belongs to space group Imm2 (No. 44); the cell edges are 3.894, 15.420 and 10.197 Å and the angles 90.00°, 90.00° and 90.00°. The inequivalent atoms are Th at (0.000, 0.000, 0.000), Th at (0.000, 0.127, 0.600), Th at (0.000, 0.312, 0.383), Th at (0.000, 0.363, 0.738), Os at (0.000, 0.231, 0.082), Au at (0.000, 0.000, 0.354) and Au at (0.000, 0.500, 0.251).

***

It comes down to arrangement 2, which is 187 meV/atom more stable than the next structure.

***

Arrangement 1

The following is a PBE-GGA calculation of an optimized crystal structure of Th5OsAu2, from Alexandria via LeMat-Bulk.

For the density of states at the Fermi level, the calculation gives 21.57 states/eV per cell.

The structure belongs to space group Pbam (No. 55); the cell edges are 8.296, 11.921 and 4.521 Å and the angles 90.00°, 90.00° and 90.00°. The inequivalent atoms are Th at (0.000, 0.000, 0.000), Th at (0.142, 0.288, 0.000), Th at (0.188, 0.573, 0.500), Os at (0.000, 0.500, 0.000) and Au at (0.088, 0.827, 0.500).

***

Arrangement 2

The following is a PBE-GGA calculation of an optimized crystal structure of Th5OsAu2, from Alexandria via LeMat-Bulk.

For the density of states at the Fermi level, the calculation gives 30.17 states/eV per cell.

The structure belongs to space group Cmcm (No. 63); the cell edges are 5.542, 10.975 and 15.129 Å and the angles 90.00°, 90.00° and 90.00°. The inequivalent atoms are Th at (0.000, 0.082, 0.107), Th at (0.000, 0.263, 0.750), Th at (0.000, 0.411, 0.100), Os at (0.000, 0.253, 0.250) and Au at (0.000, 0.241, 0.557).

***

It comes down to arrangement 1, which is 203 meV/atom more stable than the next structure.

***

Arrangement 1

The following is a PBE-GGA calculation of an optimized crystal structure of TiOsAu2, from Alexandria via LeMat-Bulk.

For the density of states at the Fermi level, the calculation gives 17.71 states/eV per cell.

The structure belongs to space group Fm-3m (No. 225); the cell edges are 6.423, 6.423 and 6.423 Å and the angles 90.00°, 90.00° and 90.00°. The inequivalent atoms are Ti at (0.000, 0.000, 0.000), Os at (0.000, 0.000, 0.500) and Au at (0.250, 0.250, 0.250).

***

Arrangement 2

The following is a PBE-GGA calculation of an optimized crystal structure of TiOsAu2, from Alexandria via LeMat-Bulk.

For the density of states at the Fermi level, the calculation gives 15.68 states/eV per cell.

The structure belongs to space group I-42d (No. 122); the cell edges are 3.780, 3.780 and 19.693 Å and the angles 90.00°, 90.00° and 90.00°. The inequivalent atoms are Ti at (0.000, 0.000, 0.000), Os at (0.000, 0.000, 0.500) and Au at (0.246, 0.250, 0.625).

***

It comes down to arrangement 1, which is 66 meV/atom more stable than the next structure.

***

Arrangement 1

The following is a PBE-GGA calculation of an optimized crystal structure of TiOs2Au, from Alexandria via LeMat-Bulk.

For the density of states at the Fermi level, the calculation gives 12.49 states/eV per cell.

The structure belongs to space group I-42d (No. 122); the cell edges are 3.895, 3.895 and 18.367 Å and the angles 90.00°, 90.00° and 90.00°. The inequivalent atoms are Ti at (0.000, 0.000, 0.000), Os at (0.190, 0.250, 0.125) and Au at (0.000, 0.000, 0.500).

***

Arrangement 2

The following is a PBE-GGA calculation of an optimized crystal structure of TiOs2Au, from Alexandria via LeMat-Bulk.

For the density of states at the Fermi level, the calculation gives 15.63 states/eV per cell.

The structure belongs to space group Fm-3m (No. 225); the cell edges are 6.284, 6.284 and 6.284 Å and the angles 90.00°, 90.00° and 90.00°. The inequivalent atoms are Ti at (0.000, 0.000, 0.000), Os at (0.250, 0.250, 0.250) and Au at (0.000, 0.000, 0.500).

***

It comes down to arrangement 2, which is 247 meV/atom more stable than the next structure.

***

Arrangement 1

The following is a PBE-GGA calculation of an optimized crystal structure of TlOs2Au, from Alexandria via LeMat-Bulk.

For the density of states at the Fermi level, the calculation gives 12.96 states/eV per cell.

The structure belongs to space group R3m (No. 160, hexagonal axes); the cell edges are 2.9007, 2.9007 and 29.1857 Å and the angles 90.00°, 90.00° and 120.00°. The inequivalent atoms are Tl at (0.0000, 0.0000, 0.0000), Os at (0.0000, 0.0000, 0.2453), Os at (0.0000, 0.0000, 0.5112) and Au at (0.0000, 0.0000, 0.7622).

***

Arrangement 2

The following is a PBE-GGA calculation of an optimized crystal structure of TlOs2Au, from Alexandria via LeMat-Bulk.

For the density of states at the Fermi level, the calculation gives 4.29 states/eV per cell.

The structure belongs to space group Cm (No. 8); the cell edges are 7.737, 2.791 and 8.255 Å and the angles 90.00°, 109.00° and 90.00°. The inequivalent atoms are Tl at (0.000, 0.000, 0.000), Os at (0.015, 0.500, 0.444), Os at (0.229, 0.500, 0.302) and Au at (0.204, 0.000, 0.736).

***

Arrangement 3

The following is a PBE-GGA calculation of an optimized crystal structure of TlOs2Au, from Alexandria via LeMat-Bulk.

For the density of states at the Fermi level, the calculation gives 6.15 states/eV per cell.

The structure belongs to space group P4/mmm (No. 123); the cell edges are 4.082, 4.082 and 4.090 Å and the angles 90.00°, 90.00° and 90.00°. The inequivalent atoms are Tl at (0.000, 0.000, 0.000), Os at (0.000, 0.500, 0.500) and Au at (0.500, 0.500, 0.000).

***

It comes down to arrangement 1, which is 75 meV/atom more stable than the next structure.